# 1
A relaxed LiAcNiSb crystal, computed with PBE.

```
LiAcNiSb
1.0
4.9374 0.0000 0.0000
2.4687 4.2759 0.0000
2.4687 1.4253 4.0314
Li Ni Sb Ac
1 1 1 1
Direct
0.2500 0.2500 0.2500
0.7500 0.7500 0.7500
0.5000 0.5000 0.5000
0.0000 0.0000 0.0000
```

---

# 2
A relaxed LiAc2Si4Ni3 crystal, computed with PBE.

```
LiAc2Si4Ni3
1.0
4.2542 0.0000 0.0000
0.0000 4.2542 0.0000
0.0000 0.0000 9.8291
Si Ac Ni Li
4 2 3 1
Direct
0.5000 0.0000 0.6309
0.5000 0.5000 0.0000
0.0000 0.5000 0.3691
0.0000 0.0000 0.0000
0.0000 0.5000 0.7495
0.5000 0.0000 0.2505
0.0000 0.5000 0.1150
0.0000 0.0000 0.5000
0.5000 0.0000 0.8850
0.5000 0.5000 0.5000
```

---

no.,raw formation energy (kJ/mol of formula units),size of the total moment (μB/atom)
1,-157.8,0.000
2,-561.4,0.000